# 1
# PBE KUFeSe4, relaxed
data_KUFeSe4
_chemical_formula_sum 'K2 U2 Fe2 Se8'
_cell_length_a 6.640
_cell_length_b 6.369
_cell_length_c 9.332
_cell_angle_alpha 90.00
_cell_angle_beta 108.72
_cell_angle_gamma 90.00
_space_group_name_H-M_alt 'P 1 21/m 1'
_space_group_IT_number 11
loop_
_space_group_symop_operation_xyz
'x,y,z'
'-x,-y,-z'
'-x,y+1/2,-z'
'x,-y+1/2,z'
loop_
_atom_site_label
_atom_site_fract_x
_atom_site_fract_y
_atom_site_fract_z
K1 0.249 0.250 0.446
U1 0.253 0.250 0.946
Fe1 0.263 0.750 0.166
Se1 0.062 0.750 0.909
Se2 0.068 0.750 0.336
Se3 0.477 0.513 0.792
# - uncorrected formation energy (eV per atom) = -0.8555

***

# 2
# PBE Ca2PaRhN4, relaxed
data_Ca2PaRhN4
_chemical_formula_sum 'Ca8 Pa4 Rh4 N16'
_cell_length_a 3.380
_cell_length_b 11.494
_cell_length_c 11.722
_cell_angle_alpha 90.00
_cell_angle_beta 90.00
_cell_angle_gamma 90.00
_space_group_name_H-M_alt 'C m c m'
_space_group_IT_number 63
_space_group_name_Hall '-C 2c 2'
loop_
_atom_site_label
_atom_site_fract_x
_atom_site_fract_y
_atom_site_fract_z
Ca1 0.000 0.129 0.045
Pa1 0.000 0.393 0.250
Rh1 0.000 0.346 0.750
N1 0.000 0.042 0.250
N2 0.000 0.209 0.645
N3 0.000 0.500 0.000
# - uncorrected formation energy (eV per atom) = -0.6857

***

# 3
# PBE LaSm5Tm2, relaxed
data_LaSm5Tm2
_chemical_formula_sum 'La2 Sm10 Tm4'
_cell_length_a 7.222
_cell_length_b 14.451
_cell_length_c 5.084
_cell_angle_alpha 90.00
_cell_angle_beta 90.00
_cell_angle_gamma 90.00
_space_group_name_H-M_alt 'P b a m'
_space_group_IT_number 55
loop_
_space_group_symop_operation_xyz
'x,y,z'
'-x,-y,-z'
'-x,-y,z'
'x,y,-z'
'x+1/2,-y+1/2,-z'
'-x+1/2,y+1/2,z'
'-x+1/2,y+1/2,-z'
'x+1/2,-y+1/2,z'
loop_
_atom_site_label
_atom_site_fract_x
_atom_site_fract_y
_atom_site_fract_z
La1 0.000 0.000 0.000
Sm1 0.000 0.500 0.000
Sm2 0.003 0.251 0.000
Sm3 0.247 0.626 0.500
Tm1 0.248 0.874 0.500
# - offset from the most stable computed form (meV/atom) = 2
# - formation energy from the elements (eV per atom) = 0.02